1.
Entry from Alexandria via LeMat-Bulk: crystalline Bi2OsRu at its relaxed geometry (PBE-GGA).

Summary:
**Symmetry**: Fm-3m (225)
**Energy above the most stable polymorph in this dataset**: 0.000 eV per atom
**Formation enthalpy at 0 K**: 3.11 eV per formula unit
**V**: 19.7 Å³/atom
**Theoretical density**: 14.94 Mg/m³
**Magnetic moment**: 0.0 μB per formula unit

The structure in POSCAR format:
```
Bi2OsRu
1.0
0.000 3.403 3.403
3.403 0.000 3.403
3.403 3.403 0.000
Os Ru Bi
1 1 2
Cartesian
3.403 3.403 3.403
0.000 0.000 0.000
1.702 1.702 1.702
5.105 5.105 5.105
```


2.
Entry from Alexandria via LeMat-Bulk: crystalline Rb2Np2TlO7 at its relaxed geometry (PBE-GGA).

Summary:
**Symmetry**: I4/mmm (139)
**Formation energy from raw total energies**: -2.376 eV per atom
**V**: 17.9 Å³/atom
**Theoretical density**: 7.42 Mg/m³
**Magnetic moment**: 3.0 μB per formula unit

The structure in POSCAR format:
```
Rb2Np2TlO7
1.0
4.337 -0.003 0.010
0.002 4.337 0.010
2.138 2.135 11.449
O Rb Tl Np
7 2 1 2
Cartesian
4.311 2.139 9.287
4.317 4.311 7.351
2.161 2.158 4.117
4.333 2.161 2.180
2.170 2.167 0.010
2.144 4.308 9.287
2.166 4.331 2.180
4.329 4.324 4.376
2.148 2.145 7.091
0.000 0.000 0.000
4.312 4.307 9.307
2.165 2.162 2.161
```


3.
Entry from Alexandria via LeMat-Bulk: crystalline Cs2RbNaSe at its relaxed geometry (PBE-GGA).

Summary:
**Symmetry**: P4/mmm (123)
**Energy above the most stable polymorph in this dataset**: 0.000 eV per atom
**Formation energy from raw total energies**: -0.567 eV per atom
**V**: 67.7 Å³/atom
**Theoretical density**: 2.22 Mg/m³
**Magnetic moment**: 0.0 μB per formula unit

The structure in POSCAR format:
```
Cs2RbNaSe
1.0
-1.206 6.985 0.367
-6.714 -1.261 1.926
1.856 -0.019 6.458
Cs Rb Se Na
2 1 1 1
Cartesian
-0.603 3.492 0.184
-3.357 -0.630 0.963
0.928 -0.009 3.229
0.000 0.000 0.000
-3.032 2.852 4.375
```


4.
Entry from Alexandria via LeMat-Bulk: crystalline CaSnSb at its relaxed geometry (PBE-GGA).

Summary:
**Symmetry**: Cmcm (63)
**Formation energy from raw total energies**: -0.542 eV per atom
**V**: 28.1 Å³/atom
**Theoretical density**: 5.54 Mg/m³
**Magnetic moment**: 0.0 μB per formula unit

The structure in POSCAR format:
```
CaSnSb
1.0
-4.304 -0.494 -0.313
0.424 -4.446 1.188
-1.039 4.304 7.486
Sb Ca Sn
2 2 2
Cartesian
-1.787 1.666 6.872
-3.132 -2.303 1.489
-3.689 -0.900 6.936
-1.230 0.264 1.425
-1.259 -1.353 4.374
-3.660 0.717 3.988
```


5.
Entry from Alexandria via LeMat-Bulk: crystalline NbFe3Pd at its relaxed geometry (PBE-GGA).

Summary:
**Symmetry**: Pm-3m (221)
**Energy above the most stable polymorph in this dataset**: 0.000 eV per atom
**Formation enthalpy at 0 K**: 6.64 eV per formula unit
**V**: 19.0 Å³/atom
**Theoretical density**: 6.40 Mg/m³
**Magnetic moment**: 7.0 μB per formula unit

The structure in POSCAR format:
```
NbFe3Pd
1.0
-3.209 -2.116 2.464
-1.446 -2.171 -3.748
2.908 -3.414 0.856
Fe Nb Pd
3 1 1
Cartesian
-0.723 -1.085 -1.874
-1.605 -1.058 1.232
1.454 -1.707 0.428
-0.873 -3.850 -0.214
0.000 0.000 0.000
```


6.
Entry from Alexandria via LeMat-Bulk: crystalline InCoRe2 at its relaxed geometry (PBE-GGA).

Summary:
**Symmetry**: C2/m (12)
**Formation enthalpy at 0 K**: 1.42 eV per formula unit
**V**: 15.3 Å³/atom
**Theoretical density**: 14.83 Mg/m³
**Magnetic moment**: 0.7 μB per formula unit

The structure in POSCAR format:
```
InCoRe2
1.0
5.208 0.089 0.081
4.408 2.775 0.081
1.182 0.352 4.370
Re In Co
2 1 1
Cartesian
1.428 0.425 4.253
5.152 1.535 2.383
2.699 0.804 1.133
8.098 2.412 3.400
```